# 1
Compound: Rh2Pb2Au
Source: Alexandria
Functional: meta-GGA SCAN
Structure: PBEsol geometry

a b c (Å): 3.5631 7.2290 7.2290
angles (deg): 90.00 90.00 90.00
With the nearest neighbours (Å) after each atom.
Positions (direct):
Pb1 0.5000 0.1615 0.6615  6 Rh 2.69-2.82
Pb2 0.5000 0.6615 0.8385  6 Rh 2.69-2.82
Pb3 0.5000 0.8385 0.3385  6 Rh 2.69-2.82
Pb4 0.5000 0.3385 0.1615  6 Rh 2.69-2.82
Rh1 0.0000 0.3591 0.8591  6 Pb 2.69-2.82, 2 Au 2.79, 1 Rh 2.88
Rh2 0.0000 0.8591 0.6409  6 Pb 2.69-2.82, 2 Au 2.79, 1 Rh 2.88
Rh3 0.0000 0.6409 0.1409  6 Pb 2.69-2.82, 2 Au 2.79, 1 Rh 2.88
Rh4 0.0000 0.1409 0.3591  6 Pb 2.69-2.82, 2 Au 2.79, 1 Rh 2.88
Au1 0.0000 0.0000 0.0000  4 Rh 2.79
Au2 0.0000 0.5000 0.5000  4 Rh 2.79

Properties
ΔH_f (0 K) (eV/atom): 0.03
Space group: P4/mbm

***

# 2
Compound: Rh3PbAu
Source: Alexandria
Functional: meta-GGA SCAN
Structure: PBEsol geometry

a b c (Å): 4.7897 4.7897 4.7897
angles (deg): 90.00 90.00 90.00
With the nearest neighbours (Å) after each atom.
Positions (direct):
Pb1 0.5000 0.5000 0.5000  12 Rh 3.39
Rh1 0.0000 0.5000 0.0000  2 Au 2.39
Rh2 0.0000 0.0000 0.5000  2 Au 2.39
Rh3 0.5000 0.0000 0.0000  2 Au 2.39
Au1 0.0000 0.0000 0.0000  6 Rh 2.39

Properties
ΔH_f (0 K) (eV/atom): 1.36
Space group: Pm-3m

***

# 3
Compound: Ru2PbAu
Source: Alexandria
Functional: meta-GGA SCAN
Structure: PBEsol geometry

a b c (Å): 4.0338 4.0338 4.9310
angles (deg): 114.14 114.14 90.00
With the nearest neighbours (Å) after each atom.
Positions (direct):
Au1 0.5000 0.5000 0.0000  4 Pb 2.85, 8 Ru 2.85
Pb1 0.2500 0.7500 0.5000  8 Ru 2.85, 4 Au 2.85
Ru1 0.0000 0.0000 0.0000  4 Pb 2.85, 4 Ru 2.85, 4 Au 2.85
Ru2 0.7500 0.2500 0.5000  4 Ru 2.85, 4 Au 2.85, 4 Pb 2.85

Properties
ΔH_f (0 K) (eV/atom): 0.62
Space group: I-4m2

***

# 4
Compound: RuPb2Au
Source: Alexandria
Functional: meta-GGA SCAN
Structure: PBEsol geometry

a b c (Å): 4.6618 4.4021 5.0748
angles (deg): 115.70 117.34 90.00
With the nearest neighbours (Å) after each atom.
Positions (direct):
Au1 0.0000 0.5000 0.0000  8 Pb 2.97-3.03, 4 Ru 3.21
Pb1 0.7468 0.7468 0.4935  4 Ru 2.93-3.07, 4 Au 2.97-3.03, 4 Pb 3.21
Pb2 0.2532 0.2532 0.5065  4 Ru 2.93-3.07, 4 Au 2.97-3.03, 4 Pb 3.21
Ru1 0.5000 0.0000 0.0000  8 Pb 2.93-3.07, 4 Au 3.21

Properties
ΔH_f (0 K) (eV/atom): 0.53
Space group: Immm

***

# 5
Compound: Ru2PbAu
Source: Alexandria
Functional: meta-GGA SCAN
Structure: PBEsol geometry

a b c (Å): 2.9014 2.9014 9.6274
angles (deg): 81.33 81.33 60.00
With the nearest neighbours (Å) after each atom.
Positions (direct):
Au1 0.4912 0.4912 0.5265  3 Ru 2.85, 6 Au 2.90
Pb1 0.2557 0.2557 0.2329  6 Pb 2.90, 3 Ru 2.99, 3 Au 3.25
Ru1 0.0095 0.0095 0.9716  3 Ru 2.55
Ru2 0.7437 0.7437 0.7690  3 Ru 2.55, 3 Au 2.85

Properties
ΔH_f (0 K) (eV/atom): 0.54
Space group: R3m

***

# 6
Compound: Pb3AuS
Source: Alexandria
Functional: meta-GGA SCAN
Structure: PBEsol geometry

a b c (Å): 5.3611 5.3611 5.3611
angles (deg): 90.00 90.00 90.00
With the nearest neighbours (Å) after each atom.
Positions (direct):
Pb1 0.0000 0.5000 0.0000  2 S 2.68
Pb2 0.0000 0.0000 0.5000  2 S 2.68
Pb3 0.5000 0.0000 0.0000  2 S 2.68
S1 0.0000 0.0000 0.0000  6 Pb 2.68
Au1 0.5000 0.5000 0.5000  12 Pb 3.79

Properties
Space group: Pm-3m

***

Number 1: mass density 14.6 g/cm3, energy -2.11763 Ha/atom, magnetic moment 0.000 μB/f.u.. Number 2: mass density 10.8 g/cm3, energy -1.76010 Ha/atom, magnetic moment 0.553 μB/f.u.. Number 3: mass density 15.4 g/cm3, energy -1.94866 Ha/atom, magnetic moment 1.134 μB/f.u.. Number 4: mass density 14.7 g/cm3, energy -2.32828 Ha/atom, magnetic moment 1.029 μB/f.u.. Number 5: mass density 14.6 g/cm3, energy -1.95168 Ha/atom, magnetic moment 0.000 μB/f.u.. Number 6: mass density 9.2 g/cm3, energy -2.23571 Ha/atom, magnetic moment 0.000 μB/f.u..